No. 1
Compound: MgMo2Ru
Source: the Alexandria database
Functional: GGA-PBE
Structure: relaxed

Computed properties:
* M_tot: 0.20 Bohr magnetons per cell
* volume: 63 Å³ per cell
* calculated formation energy: 0.1905 eV per atom
* final energy: -0.5838 Ry/atom

Lattice parameters (Å, degrees): 2.739 4.368 5.310 90.00 99.91 90.00
Space group Pm (No. 6)
Inequivalent atoms, fractional coordinates:
Mg1 0.000 0.000 0.000 [1 per cell]
Mo1 0.490 0.000 0.506 [1 per cell]
Mo2 0.688 0.500 0.254 [1 per cell]
Ru1 0.276 0.500 0.760 [1 per cell]

No. 2
Compound: Nb2CSe
Source: the Alexandria database
Functional: GGA-PBE
Structure: relaxed

Computed properties:
* M_tot: 0.00 Bohr magnetons per cell
* volume: 301 Å³ per cell
* uncorrected formation energy: 0.0404 eV/atom
* final energy: -0.6006 Ry/atom

Lattice parameters (Å, degrees): 5.287 5.287 10.768 90.00 90.00 90.00
Space group I-42d (No. 122)
Inequivalent atoms, fractional coordinates:
Nb1 0.166 0.250 0.125 [8 per cell]
C1 0.000 0.000 0.000 [4 per cell]
Se1 0.000 0.000 0.500 [4 per cell]

No. 3
Compound: TiMn3S6
Source: the Alexandria database
Functional: GGA-PBE
Structure: relaxed

Computed properties:
* M_tot: 21.71 Bohr magnetons per cell
* volume: 355 Å³ per cell
* excess energy over the best structure of this formula in the dataset: 67 meV per atom
* uncorrected formation energy: -0.6653 eV/atom
* final energy: -0.4911 Ry/atom

Lattice parameters (Å, degrees): 6.011 6.448 10.566 90.00 119.96 90.00
Space group P2_1/c (No. 14)
Inequivalent atoms, fractional coordinates:
Ti1 0.000 0.000 0.000 [2 per cell]
Mn1 0.362 0.120 0.844 [4 per cell]
Mn2 0.500 0.000 0.500 [2 per cell]
S1 0.113 0.190 0.419 [4 per cell]
S2 0.260 0.686 0.425 [4 per cell]
S3 0.398 0.053 0.248 [4 per cell]

No. 4
Compound: NaScSN2
Source: the Alexandria database
Functional: GGA-PBE
Structure: relaxed

Computed properties:
* M_tot: 4.00 Bohr magnetons per cell
* volume: 95 Å³ per cell
* excess energy over the best structure of this formula in the dataset: 0 meV per atom
* uncorrected formation energy: 0.1978 eV/atom
* final energy: -0.4034 Ry/atom

Lattice parameters (Å, degrees): 4.329 4.329 5.070 90.00 90.00 90.00
Space group P4/mmm (No. 123)
Inequivalent atoms, fractional coordinates:
Na1 0.000 0.000 0.000 [1 per cell]
Sc1 0.500 0.500 0.500 [1 per cell]
S1 0.500 0.500 0.000 [1 per cell]
N1 0.000 0.500 0.500 [2 per cell]

No. 5
Compound: HoErTm2
Source: the Alexandria database
Functional: GGA-PBE
Structure: relaxed

Computed properties:
* M_tot: 0.00 Bohr magnetons per cell
* volume: 363 Å³ per cell
* calculated formation energy: 0.0110 eV per atom
* excess energy over the best structure of this formula in the dataset: 14 meV per atom
* final energy: -0.3315 Ry/atom

Lattice parameters (Å, degrees): 3.5246 3.5246 33.7397 90.00 90.00 120.00
Space group R3m (No. 160, hexagonal axes)
Inequivalent atoms, fractional coordinates:
Ho1 0.0000 0.0000 0.0000 [3 per cell]
Er1 0.0000 0.0000 0.8342 [3 per cell]
Tm1 0.0000 0.0000 0.2506 [3 per cell]
Tm2 0.0000 0.0000 0.4171 [3 per cell]

No. 6
Compound: CsTcO4
Source: the Alexandria database
Functional: GGA-PBE
Structure: relaxed

Computed properties:
* M_tot: 0.18 Bohr magnetons per cell
* volume: 531 Å³ per cell
* uncorrected formation energy: -1.7068 eV/atom
* final energy: -0.5058 Ry/atom

Lattice parameters (Å, degrees): 5.934 6.067 14.754 90.00 90.00 90.00
Space group Pnma (No. 62)
Inequivalent atoms, fractional coordinates:
Cs1 0.020 0.250 0.128 [4 per cell]
Tc1 0.030 0.750 0.380 [4 per cell]
O1 0.014 0.015 0.685 [8 per cell]
O2 0.159 0.250 0.530 [4 per cell]
O3 0.193 0.250 0.921 [4 per cell]

No. 7
Compound: ZnCrNiIr
Source: the Alexandria database
Functional: GGA-PBE
Structure: relaxed

Computed properties:
* M_tot: 11.06 Bohr magnetons per cell
* volume: 209 Å³ per cell
* calculated formation energy: -0.0799 eV per atom
* final energy: -0.4752 Ry/atom

Lattice parameters (Å, degrees): 5.936 5.936 5.936 90.00 90.00 90.00
Space group F-43m (No. 216)
Inequivalent atoms, fractional coordinates:
Zn1 0.000 0.000 0.000 [4 per cell]
Cr1 0.000 0.000 0.500 [4 per cell]
Ni1 0.250 0.250 0.750 [4 per cell]
Ir1 0.250 0.250 0.250 [4 per cell]

No. 8
Compound: Rb3Ho2HfSe6
Source: the Alexandria database
Functional: GGA-PBE
Structure: relaxed

Computed properties:
* M_tot: 0.00 Bohr magnetons per cell
* volume: 704 Å³ per cell
* uncorrected formation energy: -1.5499 eV/atom
* final energy: -0.3768 Ry/atom

Lattice parameters (Å, degrees): 7.124 12.339 8.359 90.00 106.54 90.00
Space group C2/m (No. 12)
Inequivalent atoms, fractional coordinates:
Rb1 0.000 0.000 0.000 [2 per cell]
Rb2 0.000 0.329 0.000 [4 per cell]
Ho1 0.000 0.166 0.500 [4 per cell]
Hf1 0.000 0.500 0.500 [2 per cell]
Se1 0.224 0.341 0.694 [8 per cell]
Se2 0.247 0.000 0.695 [4 per cell]

No. 9
Compound: CeTmN
Source: the Alexandria database
Functional: GGA-PBE
Structure: relaxed

Computed properties:
* M_tot: 0.73 Bohr magnetons per cell
* volume: 64 Å³ per cell
* excess energy over the best structure of this formula in the dataset: 0 meV per atom
* uncorrected formation energy: -0.9809 eV/atom
* final energy: -0.5310 Ry/atom

Lattice parameters (Å, degrees): 3.4302 3.4302 6.2375 90.00 90.00 120.00
Space group P3m1 (No. 156)
Inequivalent atoms, fractional coordinates:
Ce1 0.0000 0.0000 0.0000 [1 per cell]
Tm1 0.3333 0.6667 0.4404 [1 per cell]
N1 0.6667 0.3333 0.2438 [1 per cell]

No. 10
Compound: Pu2BiSb
Source: the Alexandria database
Functional: GGA-PBE
Structure: relaxed

Computed properties:
* M_tot: 22.69 Bohr magnetons per cell
* volume: 225 Å³ per cell
* excess energy over the best structure of this formula in the dataset: 8 meV per atom
* uncorrected formation energy: -0.4883 eV/atom
* final energy: -0.7096 Ry/atom

Lattice parameters (Å, degrees): 3.312 5.737 11.948 90.02 97.94 90.00
Space group P-1 (No. 2)
Inequivalent atoms, fractional coordinates:
Pu1 0.060 0.250 0.120 [2 per cell]
Pu2 0.177 0.750 0.355 [2 per cell]
Bi1 0.315 0.750 0.628 [2 per cell]
Sb1 0.441 0.250 0.881 [2 per cell]

No. 11
Compound: RbSe2I2
Source: the Alexandria database
Functional: GGA-PBE
Structure: relaxed

Computed properties:
* M_tot: 0.00 Bohr magnetons per cell
* volume: 957 Å³ per cell
* excess energy over the best structure of this formula in the dataset: 0 meV per atom
* uncorrected formation energy: -0.4156 eV/atom
* final energy: -0.1928 Ry/atom

Lattice parameters (Å, degrees): 11.589 5.777 14.633 90.00 102.38 90.00
Space group C2/c (No. 15)
Inequivalent atoms, fractional coordinates:
Rb1 0.000 0.159 0.250 [4 per cell]
Se1 0.090 0.469 0.486 [8 per cell]
I1 0.204 0.332 0.847 [8 per cell]

No. 12
Compound: Y2TiAl4Pt3
Source: the Alexandria database
Functional: GGA-PBE
Structure: relaxed

Computed properties:
* M_tot: 0.00 Bohr magnetons per cell
* volume: 189 Å³ per cell
* calculated formation energy: -0.9372 eV per atom
* final energy: -0.4652 Ry/atom

Lattice parameters (Å, degrees): 4.123 4.123 11.116 90.00 90.00 90.00
Space group P-4m2 (No. 115)
Inequivalent atoms, fractional coordinates:
Y1 0.000 0.500 0.249 [2 per cell]
Ti1 0.000 0.000 0.500 [1 per cell]
Al1 0.000 0.000 0.000 [1 per cell]
Al2 0.000 0.500 0.646 [2 per cell]
Al3 0.500 0.500 0.000 [1 per cell]
Pt1 0.000 0.500 0.868 [2 per cell]
Pt2 0.500 0.500 0.500 [1 per cell]

> The lowest final energy belongs to which entry?

Pu2BiSb